1.
Below is a relaxed Al37Fe12Cu2 crystal, with properties calculated at the GGA-PBEsol level.

Geometry as CIF:
```
data_Al37Fe12Cu2
_chemical_formula_sum 'Al37 Fe12 Cu2'
_space_group_name_H-M_alt 'P 1'
_space_group_IT_number 1
_cell_length_a 8.649
_cell_length_b 8.649
_cell_length_c 12.351
_cell_angle_alpha 106.07
_cell_angle_beta 106.07
_cell_angle_gamma 53.56
loop_
_space_group_symop_operation_xyz
'x,y,z'
loop_
_atom_site_label
_atom_site_type_symbol
_atom_site_fract_x
_atom_site_fract_y
_atom_site_fract_z
Al1 Al 0.000 0.000 0.000
Al2 Al 0.000 0.000 0.606
Al3 Al 0.018 0.517 0.065
Al4 Al 0.036 0.477 0.398
Al5 Al 0.048 0.508 0.733
Al6 Al 0.077 0.077 0.834
Al7 Al 0.089 0.089 0.344
Al8 Al 0.163 0.730 0.401
Al9 Al 0.167 0.741 0.174
Al10 Al 0.174 0.617 0.950
Al11 Al 0.194 0.605 0.587
Al12 Al 0.248 0.248 0.895
Al13 Al 0.289 0.289 0.232
Al14 Al 0.341 0.927 0.172
Al15 Al 0.343 0.929 0.542
Al16 Al 0.370 0.794 0.950
Al17 Al 0.375 0.798 0.726
Al18 Al 0.442 0.442 0.787
Al19 Al 0.461 0.461 0.290
Al20 Al 0.477 0.036 0.398
Al21 Al 0.508 0.048 0.733
Al22 Al 0.517 0.018 0.065
Al23 Al 0.527 0.527 0.106
Al24 Al 0.535 0.535 0.520
Al25 Al 0.605 0.194 0.587
Al26 Al 0.617 0.174 0.950
Al27 Al 0.683 0.683 0.278
Al28 Al 0.697 0.697 0.485
Al29 Al 0.710 0.710 0.890
Al30 Al 0.730 0.163 0.401
Al31 Al 0.741 0.167 0.174
Al32 Al 0.794 0.370 0.950
Al33 Al 0.798 0.375 0.726
Al34 Al 0.833 0.833 0.238
Al35 Al 0.843 0.843 0.651
Al36 Al 0.927 0.341 0.172
Al37 Al 0.929 0.343 0.542
Fe1 Fe 0.157 0.747 0.785
Fe2 Fe 0.165 0.165 0.694
Fe3 Fe 0.169 0.169 0.048
Fe4 Fe 0.366 0.366 0.077
Fe5 Fe 0.371 0.371 0.433
Fe6 Fe 0.383 0.791 0.341
Fe7 Fe 0.677 0.677 0.075
Fe8 Fe 0.680 0.680 0.675
Fe9 Fe 0.747 0.157 0.785
Fe10 Fe 0.791 0.383 0.341
Fe11 Fe 0.851 0.851 0.446
Fe12 Fe 0.858 0.858 0.058
Cu1 Cu 0.269 0.269 0.566
Cu2 Cu 0.847 0.847 0.846
```

For the calculated volume, the calculation gives 13.9 A^3/atom. As for the formation energy: -0.34 eV/atom.


2.
Below is a relaxed AlGa2FeCu crystal, with properties calculated at the GGA-PBEsol level.

Geometry as CIF:
```
data_AlGa2FeCu
_chemical_formula_sum 'Al1 Ga2 Fe1 Cu1'
_space_group_name_H-M_alt 'P 1'
_space_group_IT_number 1
_cell_length_a 4.437
_cell_length_b 4.437
_cell_length_c 4.510
_cell_angle_alpha 90.00
_cell_angle_beta 90.00
_cell_angle_gamma 90.00
loop_
_space_group_symop_operation_xyz
'x,y,z'
loop_
_atom_site_label
_atom_site_type_symbol
_atom_site_fract_x
_atom_site_fract_y
_atom_site_fract_z
Al1 Al 0.000 0.000 0.000
Ga1 Ga 0.000 0.500 0.500
Ga2 Ga 0.500 0.000 0.500
Fe1 Fe 0.500 0.500 0.500
Cu1 Cu 0.500 0.500 0.000
```

For the calculated volume, the calculation gives 17.8 A^3/atom. As for the formation energy: 0.52 eV/atom.


3.
Below is a relaxed NaAlFe2Cu crystal, with properties calculated at the GGA-PBEsol level.

Geometry as CIF:
```
data_NaAlFe2Cu
_chemical_formula_sum 'Na1 Al1 Fe2 Cu1'
_space_group_name_H-M_alt 'P 1'
_space_group_IT_number 1
_cell_length_a 4.480
_cell_length_b 4.480
_cell_length_c 4.509
_cell_angle_alpha 90.00
_cell_angle_beta 90.00
_cell_angle_gamma 90.00
loop_
_space_group_symop_operation_xyz
'x,y,z'
loop_
_atom_site_label
_atom_site_type_symbol
_atom_site_fract_x
_atom_site_fract_y
_atom_site_fract_z
Na1 Na 0.000 0.000 0.000
Al1 Al 0.500 0.500 0.500
Fe1 Fe 0.000 0.500 0.500
Fe2 Fe 0.500 0.000 0.500
Cu1 Cu 0.500 0.500 0.000
```

For the calculated volume, the calculation gives 18.1 A^3/atom. As for the formation energy: 1.04 eV/atom.


Question: Which value of calculated volume does entry 3 give?
Answer: 18.1 A^3/atom


What did the second record say?
Below is a relaxed AlGa2FeCu crystal, with properties calculated at the GGA-PBEsol level.

Geometry as CIF:
```
data_AlGa2FeCu
_chemical_formula_sum 'Al1 Ga2 Fe1 Cu1'
_space_group_name_H-M_alt 'P 1'
_space_group_IT_number 1
_cell_length_a 4.437
_cell_length_b 4.437
_cell_length_c 4.510
_cell_angle_alpha 90.00
_cell_angle_beta 90.00
_cell_angle_gamma 90.00
loop_
_space_group_symop_operation_xyz
'x,y,z'
loop_
_atom_site_label
_atom_site_type_symbol
_atom_site_fract_x
_atom_site_fract_y
_atom_site_fract_z
Al1 Al 0.000 0.000 0.000
Ga1 Ga 0.000 0.500 0.500
Ga2 Ga 0.500 0.000 0.500
Fe1 Fe 0.500 0.500 0.500
Cu1 Cu 0.500 0.500 0.000
```

For the calculated volume, the calculation gives 17.8 A^3/atom. As for the formation energy: 0.52 eV/atom.


Question: Which value of calculated volume does entry 1 give?
Answer: 13.9 A^3/atom


Question: Which of these has the lowest calculated volume?
Answer: Al37Fe12Cu2